No. 1
Pm2NdDyY | PBE | optimized geometry

- Magnetization: 0.000 μB/atom
- Space-group type: Cmcm (63)
- Energy: -4.668 eV per atom

The structure in POSCAR format:
```
Pm2NdDyY
1.0
4.233 -5.854 0.000
4.233 5.854 0.000
0.000 0.000 7.274
Pm Nd Dy Y
4 2 2 2
Cartesian
1.613 0.000 0.000
1.613 0.000 3.637
6.853 0.000 0.000
6.853 0.000 3.637
4.233 3.244 5.455
4.233 -3.244 1.818
4.233 3.122 1.818
4.233 -3.122 5.455
4.233 0.125 5.455
4.233 -0.125 1.818
```

No. 2
Pm6NdDy2Y | PBE | optimized geometry

- Magnetization: 0.000 μB/atom
- Space-group type: C2/c (15)
- Energy: -4.779 eV per atom

The structure in POSCAR format:
```
Pm6NdDy2Y
1.0
4.607 -7.674 0.000
4.607 7.674 0.000
-1.340 0.000 9.650
Pm Nd Dy Y
12 2 4 2
Cartesian
2.463 4.206 1.777
3.284 4.913 5.351
3.920 4.913 9.124
3.163 1.629 3.661
6.081 4.206 3.048
5.381 1.629 1.164
2.493 -1.629 8.487
1.793 -4.206 6.602
4.711 -1.629 5.989
3.954 -4.913 0.526
4.590 -4.913 4.299
5.411 -4.206 7.873
3.602 1.428 7.238
4.272 -1.428 2.413
2.206 0.778 0.429
1.536 -0.778 5.254
6.338 0.778 4.396
5.668 -0.778 9.222
4.272 7.266 2.413
3.602 -7.266 7.238
```

No. 3
PmNd2DyY | PBE | optimized geometry

- Magnetization: 0.000 μB/atom
- Space-group type: Cmcm (63)
- Energy: -4.683 eV per atom

The structure in POSCAR format:
```
PmNd2DyY
1.0
4.221 -5.873 0.000
4.221 5.873 0.000
0.000 0.000 7.274
Pm Nd Dy Y
2 4 2 2
Cartesian
4.221 3.327 5.456
4.221 -3.327 1.819
1.630 0.000 0.000
1.630 0.000 3.637
6.813 0.000 0.000
6.813 0.000 3.637
4.221 0.253 5.456
4.221 -0.253 1.819
4.221 3.026 1.819
4.221 -3.026 5.456
```

One value per record, in order, for mass density: 6.32, 6.95, 6.31 g/cm3.